# 1
DFT (GGA-PBE) results for Zn2CdPt2 after structural relaxation.

Unit cell a=7.4919 b=7.4919 c=2.8740 alpha=90.00 beta=90.00 gamma=90.00
Last column: nearest neighbours and their distance in Å.
Fractional positions:
Cd 0.0000 0.0000 0.0000  2 Cd 2.87, 4 Zn 2.96, 8 Pt 3.13
Cd 0.5000 0.5000 0.0000  2 Cd 2.87, 4 Zn 2.96, 8 Pt 3.13
Zn 0.8742 0.6258 0.0000  6 Pt 2.59-2.66, 3 Zn 2.67-2.87
Zn 0.1258 0.3742 0.0000  6 Pt 2.59-2.66, 3 Zn 2.67-2.87
Zn 0.6258 0.1258 0.0000  6 Pt 2.59-2.66, 3 Zn 2.67-2.87
Zn 0.3742 0.8742 0.0000  6 Pt 2.59-2.66, 3 Zn 2.67-2.87
Pt 0.1704 0.6704 0.5000  6 Zn 2.59-2.66, 2 Pt 2.87
Pt 0.3296 0.1704 0.5000  6 Zn 2.59-2.66, 2 Pt 2.87
Pt 0.6704 0.8296 0.5000  6 Zn 2.59-2.66, 2 Pt 2.87
Pt 0.8296 0.3296 0.5000  6 Zn 2.59-2.66, 2 Pt 2.87

Values from the calculation:
spin magnetization: 0.0 μB/f.u.
energy above the most stable polymorph in this dataset: 0 meV per atom
E: -3.54 eV/atom
space-group type: P4/mbm, No. 127
calculated formation energy: -0.435 eV per atom


# 2
DFT (GGA-PBE) results for LiTl2O after structural relaxation.

Unit cell a=4.8250 b=4.8250 c=4.8250 alpha=60.00 beta=60.00 gamma=60.00
Last column: nearest neighbours and their distance in Å.
Fractional positions:
Li 0.0000 0.0000 0.0000  8 Tl 2.95
Tl 0.7500 0.7500 0.7500  4 O 2.95, 4 Li 2.95
Tl 0.2500 0.2500 0.2500  4 O 2.95, 4 Li 2.95
O 0.5000 0.5000 0.5000  8 Tl 2.95

Values from the calculation:
spin magnetization: 0.0 μB/f.u.
energy above the most stable polymorph in this dataset: 301 meV per atom
ΔE_f (raw): -11 kJ per mole of atoms
E: -3.01 eV/atom
space-group type: Fm-3m, No. 225


# 3
DFT (GGA-PBE) results for Nd4AlPd after structural relaxation.

Unit cell a=5.4367 b=6.4911 c=11.0265 alpha=90.00 beta=104.27 gamma=90.00
Last column: nearest neighbours and their distance in Å.
Fractional positions:
Nd 0.1101 0.8006 0.2203  2 Pd 2.82
Nd 0.5559 0.3476 0.1117  1 Pd 2.84
Nd 0.6936 0.0708 0.3873  1 Pd 2.91, 1 Nd 3.16, 2 Al 3.25
Nd 0.2878 0.0540 0.5757  4 Nd 3.16-3.38, 3 Al 3.28-3.33, 1 Pd 3.44
Nd 0.8899 0.3006 0.7797  2 Pd 2.82
Nd 0.3064 0.5708 0.6127  1 Pd 2.91, 1 Nd 3.16, 2 Al 3.25
Nd 0.4441 0.8476 0.8883  1 Pd 2.84
Nd 0.7122 0.5540 0.4243  4 Nd 3.16-3.38, 3 Al 3.28-3.33, 1 Pd 3.44
Pd 0.4232 0.3410 0.8463  4 Nd 2.82-2.91
Pd 0.5768 0.8410 0.1537  4 Nd 2.82-2.91
Al 0.8425 0.8193 0.6851  10 Nd 3.25-3.58
Al 0.1575 0.3193 0.3149  10 Nd 3.25-3.58

Values from the calculation:
spin magnetization: 0.0 μB/f.u.
E: -4.89 eV/atom
space-group type: Cmc2_1, No. 36
calculated formation energy: -0.218 eV per atom


# 4
DFT (GGA-PBE) results for TlInAg3 after structural relaxation.

Unit cell a=5.2954 b=5.2954 c=5.2954 alpha=90.00 beta=90.00 gamma=90.00
Last column: nearest neighbours and their distance in Å.
Fractional positions:
Ag 0.0000 0.0000 0.5000  2 In 2.65
Ag 0.5000 0.0000 0.0000  2 In 2.65
Ag 0.0000 0.5000 0.0000  2 In 2.65
In 0.0000 0.0000 0.0000  6 Ag 2.65
Tl 0.5000 0.5000 0.5000  12 Ag 3.74

Values from the calculation:
spin magnetization: 0.0 μB/f.u.
energy above the most stable polymorph in this dataset: 0 meV per atom
E: -2.32 eV/atom
space-group type: Pm-3m, No. 221
calculated formation energy: 0.408 eV per atom


# 5
DFT (GGA-PBE) results for Sm3Al2Cd after structural relaxation.

Unit cell a=3.5204 b=3.5204 c=12.4333 alpha=90.00 beta=90.00 gamma=90.00
Last column: nearest neighbours and their distance in Å.
Fractional positions:
Sm 0.0000 0.0000 0.3212  4 Al 3.17, 4 Cd 3.34, 4 Sm 3.52
Sm 0.0000 0.0000 0.0000  8 Al 3.22, 4 Sm 3.52
Sm 0.0000 0.0000 0.6788  4 Al 3.17, 4 Cd 3.34, 4 Sm 3.52
Al 0.5000 0.5000 0.1637  8 Sm 3.17-3.22, 4 Al 3.52
Al 0.5000 0.5000 0.8363  8 Sm 3.17-3.22, 4 Al 3.52
Cd 0.5000 0.5000 0.5000  8 Sm 3.34, 4 Cd 3.52

Values from the calculation:
spin magnetization: 0.0 μB/f.u.
energy above the most stable polymorph in this dataset: 0 meV per atom
E: -4.12 eV/atom
space-group type: P4/mmm, No. 123
calculated formation energy: -0.358 eV per atom


# 6
DFT (GGA-PBE) results for Rb2GeSeBr6 after structural relaxation.

Unit cell a=7.5593 b=7.5593 c=8.3250 alpha=63.00 beta=63.00 gamma=90.00
Last column: nearest neighbours and their distance in Å.
Fractional positions:
Rb 0.2500 0.7500 0.5000  12 Br 3.81-4.16
Rb 0.7500 0.2500 0.5000  12 Br 3.81-4.16
Br 0.2452 0.2452 0.0000  1 Se 2.62, 1 Ge 2.72
Br 0.7548 0.7548 0.0000  1 Se 2.62, 1 Ge 2.72
Br 0.2870 0.2870 0.4261  1 Ge 2.72
Br 0.7548 0.2452 0.0000  1 Se 2.62, 1 Ge 2.72
Br 0.2452 0.7548 0.0000  1 Se 2.62, 1 Ge 2.72
Br 0.7130 0.7130 0.5739  1 Ge 2.72
Ge 0.5000 0.5000 0.0000  6 Br 2.72
Se 0.0000 0.0000 0.0000  4 Br 2.62

Values from the calculation:
spin magnetization: 0.0 μB/f.u.
ΔE_f (raw): -81 kJ per mole of atoms
E: -2.85 eV/atom
space-group type: I4/mmm, No. 139